GGA-PBEsol CrTePbI2, optimized geometry; D(E_F) = 1.550 states/eV/cell; E_form (uncorrected) = 0.022 eV per atom
1.0
5.319 0.000 0.000
0.000 5.319 0.000
0.000 0.000 5.478
Cr Te Pb I
1 1 1 2
Cartesian
0.000 0.000 0.000 Cr
0.000 0.000 2.739 Te
2.659 2.659 2.739 Pb
0.000 2.659 0.000 I
2.659 0.000 0.000 I